DFT (PBE) results for a relaxed Sc4CuHg2 crystal.

Geometry as POSCAR:
```
Sc4CuHg2
1.0
-2.0793 -0.3864 4.3249
1.5698 -3.2946 3.1399
4.9367 3.9901 5.4094
Sc Cu Hg
4 1 2
direct
0.8763 0.8763 0.3711
0.1237 0.1237 0.6289
0.6260 0.6260 0.1219
0.3740 0.3740 0.8781
0.0000 0.0000 0.0000
0.7517 0.7517 0.7450
0.2483 0.2483 0.2550
```

Properties
Total magnetization (μB per formula unit): 0.00
Fermi-level density of states (states/eV/cell): 7.041
Crystal system: trigonal
Calculated formation energy (eV per atom): -0.2057